[1]
VASP calculation (PBE) on Pa2Mn2Se7 after structural relaxation.

Computed properties:
- calculated volume (Å³/atom) = 24.70
- SG = Fd-3m (227)
- uncorrected energy (eV per atom) = -6.4955

Unit cell a=9.1597 b=9.1597 c=9.1597 alpha=60.00 beta=60.00 gamma=60.00
Closest atoms and distances in Å follow each position.
Atoms (fractional coordinates):
Pa 0.6250 0.6250 0.6250  8 Se 2.80-3.03
Pa 0.6250 0.6250 0.1250  8 Se 2.80-3.03
Pa 0.6250 0.1250 0.6250  8 Se 2.80-3.03
Pa 0.1250 0.6250 0.6250  8 Se 2.80-3.03
Mn 0.6250 0.1250 0.1250  6 Se 2.61
Mn 0.1250 0.6250 0.1250  6 Se 2.61
Mn 0.1250 0.1250 0.6250  6 Se 2.61
Mn 0.1250 0.1250 0.1250  6 Se 2.61
Se 0.2213 0.2213 0.7787  2 Mn 2.61
Se 0.2213 0.7787 0.2213  2 Mn 2.61
Se 0.4713 0.0287 0.4713  2 Mn 2.61
Se 0.4713 0.4713 0.0287  2 Mn 2.61
Se 0.7500 0.7500 0.7500  4 Pa 2.80
Se 0.7787 0.2213 0.2213  2 Mn 2.61
Se 0.4713 0.0287 0.0287  2 Mn 2.61
Se 0.0287 0.4713 0.4713  2 Mn 2.61
Se 0.0287 0.0287 0.4713  2 Mn 2.61
Se 0.0287 0.4713 0.0287  2 Mn 2.61
Se 0.2213 0.7787 0.7787  2 Mn 2.61
Se 0.5000 0.5000 0.5000  4 Pa 2.80
Se 0.7787 0.2213 0.7787  2 Mn 2.61
Se 0.7787 0.7787 0.2213  2 Mn 2.61



[2]
VASP calculation (PBE) on PaMn3Se6 after structural relaxation.

Computed properties:
- calculated volume (Å³/atom) = 23.92
- SG = R3 (146)
- uncorrected energy (eV per atom) = -6.4838

Unit cell a=6.6838 b=6.6838 c=7.2893 alpha=62.71 beta=62.71 gamma=60.00
Closest atoms and distances in Å follow each position.
Atoms (fractional coordinates):
Pa 0.8425 0.8425 0.4726  6 Se 2.79-2.80
Mn 0.3443 0.3443 0.9671  6 Se 2.64-2.68
Mn 0.6583 0.6583 0.0252  6 Se 2.60-2.70
Mn 0.1590 0.1590 0.5229  6 Se 2.66-2.69
Se 0.9346 0.5509 0.2433  3 Mn 2.60-2.69, 1 Pa 2.80
Se 0.2713 0.9346 0.2433  3 Mn 2.60-2.69, 1 Pa 2.80
Se 0.5509 0.2713 0.2433  3 Mn 2.60-2.69, 1 Pa 2.80
Se 0.0632 0.4200 0.7608  3 Mn 2.64-2.70, 1 Pa 2.79
Se 0.7560 0.0632 0.7608  3 Mn 2.64-2.70, 1 Pa 2.79
Se 0.4200 0.7560 0.7608  3 Mn 2.64-2.70, 1 Pa 2.79



[3]
VASP calculation (PBE) on Pa6Mn3Se14 after structural relaxation.

Computed properties:
- calculated volume (Å³/atom) = 23.00
- SG = P3 (143)
- uncorrected energy (eV per atom) = -6.8994

Unit cell a=5.9219 b=10.1554 c=10.1554 alpha=120.00 beta=90.00 gamma=90.00
Closest atoms and distances in Å follow each position.
Atoms (fractional coordinates):
Pa 0.2396 0.8189 0.1123  7 Se 2.85-3.05
Pa 0.2396 0.8877 0.7066  7 Se 2.85-3.05
Pa 0.2396 0.2934 0.1811  7 Se 2.85-3.05
Pa 0.7320 0.5149 0.5545  8 Se 2.83-3.16
Pa 0.7320 0.4455 0.9604  8 Se 2.83-3.16
Pa 0.7320 0.0396 0.4851  8 Se 2.83-3.16
Mn 0.8778 0.0000 0.0000  4 Se 2.40-2.46
Mn 0.3782 0.3333 0.6667  4 Se 2.40-2.47
Mn 0.4797 0.6667 0.3333  6 Se 2.64-2.68
Se 0.9877 0.1052 0.2611  1 Mn 2.40
Se 0.9877 0.7389 0.8440  1 Mn 2.40
Se 0.9877 0.1560 0.8948  1 Mn 2.40
Se 0.4872 0.2285 0.4057  1 Mn 2.40
Se 0.4872 0.5943 0.8229  1 Mn 2.40
Se 0.4872 0.1771 0.7715  1 Mn 2.40
Se 0.4628 0.0000 0.0000  1 Mn 2.46
Se 0.9612 0.3333 0.6667  1 Mn 2.47
Se 0.7183 0.7731 0.1866  1 Mn 2.64, 2 Pa 2.88-2.95
Se 0.7183 0.8134 0.5865  1 Mn 2.65, 2 Pa 2.88-2.95
Se 0.7183 0.4135 0.2269  1 Mn 2.65, 2 Pa 2.88-2.95
Se 0.2295 0.5628 0.4815  1 Mn 2.68, 2 Pa 2.91-2.93
Se 0.2295 0.5185 0.0813  1 Mn 2.68, 2 Pa 2.91-2.93
Se 0.2295 0.9187 0.4372  1 Mn 2.68, 2 Pa 2.91-2.93



> Which of these has the lowest uncorrected energy?

Pa6Mn3Se14



> What is the calculated volume in the second record?

23.92 Å³/atom



Copy entry 1 word for word.
VASP calculation (PBE) on Pa2Mn2Se7 after structural relaxation.

Computed properties:
- calculated volume (Å³/atom) = 24.70
- SG = Fd-3m (227)
- uncorrected energy (eV per atom) = -6.4955

Unit cell a=9.1597 b=9.1597 c=9.1597 alpha=60.00 beta=60.00 gamma=60.00
Closest atoms and distances in Å follow each position.
Atoms (fractional coordinates):
Pa 0.6250 0.6250 0.6250  8 Se 2.80-3.03
Pa 0.6250 0.6250 0.1250  8 Se 2.80-3.03
Pa 0.6250 0.1250 0.6250  8 Se 2.80-3.03
Pa 0.1250 0.6250 0.6250  8 Se 2.80-3.03
Mn 0.6250 0.1250 0.1250  6 Se 2.61
Mn 0.1250 0.6250 0.1250  6 Se 2.61
Mn 0.1250 0.1250 0.6250  6 Se 2.61
Mn 0.1250 0.1250 0.1250  6 Se 2.61
Se 0.2213 0.2213 0.7787  2 Mn 2.61
Se 0.2213 0.7787 0.2213  2 Mn 2.61
Se 0.4713 0.0287 0.4713  2 Mn 2.61
Se 0.4713 0.4713 0.0287  2 Mn 2.61
Se 0.7500 0.7500 0.7500  4 Pa 2.80
Se 0.7787 0.2213 0.2213  2 Mn 2.61
Se 0.4713 0.0287 0.0287  2 Mn 2.61
Se 0.0287 0.4713 0.4713  2 Mn 2.61
Se 0.0287 0.0287 0.4713  2 Mn 2.61
Se 0.0287 0.4713 0.0287  2 Mn 2.61
Se 0.2213 0.7787 0.7787  2 Mn 2.61
Se 0.5000 0.5000 0.5000  4 Pa 2.80
Se 0.7787 0.2213 0.7787  2 Mn 2.61
Se 0.7787 0.7787 0.2213  2 Mn 2.61



Copy entry 2 word for word.
VASP calculation (PBE) on PaMn3Se6 after structural relaxation.

Computed properties:
- calculated volume (Å³/atom) = 23.92
- SG = R3 (146)
- uncorrected energy (eV per atom) = -6.4838

Unit cell a=6.6838 b=6.6838 c=7.2893 alpha=62.71 beta=62.71 gamma=60.00
Closest atoms and distances in Å follow each position.
Atoms (fractional coordinates):
Pa 0.8425 0.8425 0.4726  6 Se 2.79-2.80
Mn 0.3443 0.3443 0.9671  6 Se 2.64-2.68
Mn 0.6583 0.6583 0.0252  6 Se 2.60-2.70
Mn 0.1590 0.1590 0.5229  6 Se 2.66-2.69
Se 0.9346 0.5509 0.2433  3 Mn 2.60-2.69, 1 Pa 2.80
Se 0.2713 0.9346 0.2433  3 Mn 2.60-2.69, 1 Pa 2.80
Se 0.5509 0.2713 0.2433  3 Mn 2.60-2.69, 1 Pa 2.80
Se 0.0632 0.4200 0.7608  3 Mn 2.64-2.70, 1 Pa 2.79
Se 0.7560 0.0632 0.7608  3 Mn 2.64-2.70, 1 Pa 2.79
Se 0.4200 0.7560 0.7608  3 Mn 2.64-2.70, 1 Pa 2.79